1.
Ca2CoPtF: relaxed, PBE+U.

abc: 4.7166 4.2454 4.7166
angles: 90.00 90.00 90.00
Last column: nearest neighbours and their distance in Å.
Atoms (fractional coordinates):
Ca 0.0000 0.0000 0.5000  2 F 2.36
Ca 0.5000 0.0000 0.0000  2 F 2.36
Co 0.0000 0.5000 0.0000  2 F 2.12
Pt 0.5000 0.5000 0.5000  8 Ca 3.17, 4 Co 3.34
F 0.0000 0.0000 0.0000  2 Co 2.12, 4 Ca 2.36

Output
relative energy among the computed polymorphs: 0 meV per atom
space-group type: No. 123

2.
ZnW2O: relaxed, PBE+U.

abc: 4.2576 4.2576 4.2576
angles: 60.00 60.00 60.00
Last column: nearest neighbours and their distance in Å.
Atoms (fractional coordinates):
Zn 0.5000 0.5000 0.5000  8 W 2.61
O 0.0000 0.0000 0.0000  8 W 2.61
W 0.2500 0.2500 0.2500  4 Zn 2.61, 4 O 2.61
W 0.7500 0.7500 0.7500  4 O 2.61, 4 Zn 2.61

Output
relative energy among the computed polymorphs: 416 meV per atom
space-group type: No. 225